# Ta3IrOs

A relaxed structure of Ta3IrOs (GGA-PBE, Alexandria via LeMat-Bulk).

a b c (Å): 4.756 4.756 4.756
angles (deg): 90.00 90.00 90.00
Space group Pm-3m (No. 221)
One atom of each set of equivalent atoms:
Ta 0.000 0.000 0.500 (multiplicity 3)
Ir 0.000 0.000 0.000 (multiplicity 1)
Os 0.500 0.500 0.500 (multiplicity 1)

For the energy relative to the elements, the calculation gives 1.4500 eV/atom. Its magnetic moment is 0.00 μB/f.u.

# LiBe2Cr

A relaxed structure of LiBe2Cr (GGA-PBE, Alexandria via LeMat-Bulk).

a b c (Å): 2.451 2.451 6.794
angles (deg): 90.00 90.00 90.00
Space group P4mm (No. 99)
One atom of each set of equivalent atoms:
Li 0.000 0.000 0.000 (multiplicity 1)
Be 0.000 0.000 0.449 (multiplicity 1)
Be 0.500 0.500 0.265 (multiplicity 1)
Cr 0.500 0.500 0.685 (multiplicity 1)

For the energy relative to the elements, the calculation gives 0.2214 eV/atom. Its magnetic moment is 0.00 μB/f.u.

# LiPmTm2Pd4

A relaxed structure of LiPmTm2Pd4 (GGA-PBE, Alexandria via LeMat-Bulk).

a b c (Å): 4.8213 4.8213 24.0275
angles (deg): 90.00 90.00 120.00
Space group R-3m (No. 166, hexagonal axes)
One atom of each set of equivalent atoms:
Li 0.0000 0.0000 0.0000 (multiplicity 3)
Pm 0.0000 0.0000 0.5000 (multiplicity 3)
Tm 0.0000 0.0000 0.2603 (multiplicity 6)
Pd 0.0000 0.0000 0.1141 (multiplicity 6)
Pd 0.0000 0.0000 0.3770 (multiplicity 6)

For the energy relative to the elements, the calculation gives -0.7781 eV/atom. Its magnetic moment is 0.00 μB/f.u.

# CaCd2Hg

A relaxed structure of CaCd2Hg (GGA-PBE, Alexandria via LeMat-Bulk).

a b c (Å): 3.503 4.522 6.684
angles (deg): 90.00 105.07 90.00
Space group Pm (No. 6)
One atom of each set of equivalent atoms:
Ca 0.000 0.000 0.000 (multiplicity 1)
Cd 0.250 0.000 0.505 (multiplicity 1)
Cd 0.653 0.500 0.308 (multiplicity 1)
Hg 0.397 0.500 0.791 (multiplicity 1)

For the energy relative to the elements, the calculation gives -0.2635 eV/atom. Its magnetic moment is 0.00 μB/f.u.

# Li9Cu4Au

A relaxed structure of Li9Cu4Au (GGA-PBE, Alexandria via LeMat-Bulk).

a b c (Å): 8.1301 8.1301 7.9503
angles (deg): 90.00 90.00 120.00
Space group P6_3/mmc (No. 194)
One atom of each set of equivalent atoms:
Li 0.0759 0.5379 0.2500 (multiplicity 6)
Li 0.1892 0.3785 0.5549 (multiplicity 12)
Cu 0.0000 0.0000 0.0000 (multiplicity 2)
Cu 0.1058 0.2116 0.2500 (multiplicity 6)
Au 0.3333 0.6667 0.7500 (multiplicity 2)

For the energy relative to the elements, the calculation gives -0.1247 eV/atom. Its magnetic moment is 0.00 μB/f.u.

# Li2AlAu2

A relaxed structure of Li2AlAu2 (GGA-PBE, Alexandria via LeMat-Bulk).

a b c (Å): 6.373 10.354 5.200
angles (deg): 90.00 90.00 90.00
Space group Ibam (No. 72)
One atom of each set of equivalent atoms:
Li 0.135 0.097 0.000 (multiplicity 8)
Al 0.000 0.500 0.250 (multiplicity 4)
Au 0.230 0.338 0.000 (multiplicity 8)

For the energy relative to the elements, the calculation gives -0.3640 eV/atom. Its magnetic moment is 0.00 μB/f.u.